The following is a DFT calculation (PBE) of crystalline BaMoRu2Rh at its relaxed geometry.

```
BaMoRu2Rh
1.0
4.782 0.000 0.000
0.000 4.782 0.000
0.000 0.000 5.493
Ba Mo Ru Rh
1 1 2 1
Cartesian
0.000 0.000 0.000
2.391 2.391 0.000
0.000 2.391 2.746
2.391 0.000 2.746
0.000 0.000 2.746
```

Properties
- calculated formation energy (eV/atom) = 1.844
- calculated volume (Å³/atom) = 25.12
- crystal system = tetragonal
- magnetization (μB per atom) = 0.799
- density of states at the Fermi level (states/eV/cell) = 7.6